VASP calculation (PBE+U) on a geometry-optimized Fe2Mo3O12 structure.

Properties
**Fermi-level density of states**: 0.0000 states/eV/atom
**Uncorrected energy**: -6.984 eV per atom
**Polymorph energy (0 for the lowest one)**: 0 meV per atom
**V**: 297.25 Å³/f.u.

CIF file:
```
data_Fe2Mo3O12
_cell_length_a 13.166
_cell_length_b 9.457
_cell_length_c 9.549
_cell_angle_alpha 90.00
_cell_angle_beta 90.00
_cell_angle_gamma 90.00
_space_group_name_H-M_alt 'P b c n'
_space_group_IT_number 60
_space_group_name_Hall '-P 2n 2ab'
loop_
_atom_site_label
_atom_site_fract_x
_atom_site_fract_y
_atom_site_fract_z
Fe1 0.119 0.250 0.035
Mo1 0.000 0.026 0.750
Mo2 0.145 0.395 0.383
O1 0.025 0.320 0.428
O2 0.064 0.135 0.875
O3 0.092 0.084 0.164
O4 0.141 0.417 0.909
O5 0.169 0.361 0.201
O6 0.242 0.319 0.492
```